Entry 1:
Below is a relaxed AcLa8Dy4 crystal, with properties calculated at the PBE level.

Results
DOS at the Fermi energy ... 19.75 states/eV/cell
E ... -60.49 eV/cell
Energy relative to the elements ... 112 meV/atom
Space group ... P1, No. 1

POSCAR file:
```
AcLa8Dy4
1.0
-3.343 -9.194 7.187
-6.197 5.392 -12.630
6.794 0.486 0.093
La Dy Ac
8 4 1
Direct
0.994 0.263 0.511
0.700 0.822 0.239
0.582 0.000 0.426
0.861 0.682 0.030
0.322 0.151 0.008
0.227 0.342 0.230
0.505 0.220 0.665
0.972 0.689 0.613
0.451 0.005 0.810
0.938 0.482 0.762
0.853 0.877 0.867
0.405 0.385 0.885
0.189 0.580 0.456
```

Entry 2:
Below is a relaxed Ac2La3Dy2 crystal, with properties calculated at the PBE level.

Results
DOS at the Fermi energy ... 10.53 states/eV/cell
E ... -31.98 eV/cell
Energy relative to the elements ... 32 meV/atom
Space group ... C2/m, No. 12

POSCAR file:
```
Ac2La3Dy2
1.0
-2.761 -1.150 2.327
7.508 -5.807 6.036
-3.587 3.500 6.734
Ac Dy La
2 2 3
Direct
0.150 0.150 0.566
0.850 0.850 0.434
0.703 0.710 0.865
0.297 0.290 0.135
0.423 0.434 0.718
0.000 0.000 0.000
0.577 0.566 0.282
```

Entry 3:
Below is a relaxed Ac8La5Dy crystal, with properties calculated at the PBE level.

Results
DOS at the Fermi energy ... 22.26 states/eV/cell
E ... -58.92 eV/cell
Energy relative to the elements ... 228 meV/atom
Space group ... I-4, No. 82

POSCAR file:
```
Ac8La5Dy
1.0
-4.741 7.590 -1.918
-4.957 -5.685 5.183
7.583 2.612 4.408
La Ac Dy
5 8 1
Direct
0.278 0.102 0.976
0.874 0.898 0.176
0.824 0.698 0.722
0.024 0.302 0.126
0.500 0.000 0.500
0.079 0.739 0.475
0.171 0.730 0.066
0.336 0.270 0.441
0.735 0.261 0.340
0.559 0.896 0.829
0.525 0.605 0.265
0.660 0.395 0.921
0.934 0.104 0.664
0.250 0.500 0.750
```

Entry 4:
Below is a relaxed AcLa3Dy2 crystal, with properties calculated at the PBE level.

Results
DOS at the Fermi energy ... 10.81 states/eV/cell
E ... -26.17 eV/cell
Energy relative to the elements ... 321 meV/atom
Space group ... Immm, No. 71

POSCAR file:
```
AcLa3Dy2
1.0
3.558 0.000 0.000
0.000 6.231 0.000
-1.779 -3.116 10.001
La Dy Ac
3 2 1
Direct
0.191 0.191 0.382
0.809 0.809 0.618
0.000 0.500 0.000
0.637 0.637 0.274
0.363 0.363 0.726
0.000 0.000 0.000
```

Entry 5:
Below is a relaxed Ac2LaDy crystal, with properties calculated at the PBE level.

Results
DOS at the Fermi energy ... 6.40 states/eV/cell
E ... -17.56 eV/cell
Energy relative to the elements ... 47 meV/atom
Space group ... R3m, No. 160

POSCAR file:
```
Ac2LaDy
1.0
3.841 0.000 0.000
1.921 3.327 0.000
1.921 1.109 12.331
Dy La Ac
1 1 2
Direct
0.667 0.667 0.998
0.499 0.499 0.503
0.081 0.081 0.756
0.253 0.253 0.242
```

Entry 6:
Below is a relaxed Ac2LaDy3 crystal, with properties calculated at the PBE level.

Results
DOS at the Fermi energy ... 24.96 states/eV/cell
E ... -51.89 eV/cell
Energy relative to the elements ... 168 meV/atom
Space group ... Ibam, No. 72

POSCAR file:
```
Ac2LaDy3
1.0
3.642 0.000 -1.205
-1.946 10.719 -5.882
1.666 -0.734 11.141
La Dy Ac
2 6 4
Direct
0.000 0.000 0.000
0.000 0.500 0.000
0.500 0.250 0.000
0.167 0.417 0.334
0.833 0.083 0.666
0.500 0.750 0.000
0.833 0.583 0.666
0.167 0.917 0.334
0.660 0.662 0.324
0.664 0.162 0.324
0.336 0.838 0.676
0.340 0.338 0.676
```